# 1
The following is a GGA-PBE calculation of a relaxed structure of Pr2GeRh, from Alexandria via LeMat-Bulk.

Results
Uncorrected energy, eV/atom: -5.882
Density, g/cm³: 7.0
ΔH_f (0 K), kcal/mol of atoms: -11.53

Unit cell a=4.088 b=4.088 c=22.452 alpha=90.00 beta=90.00 gamma=120.00
Element x y z (fractional)
Pr (0.000, 0.000, 0.243)
Pr (0.000, 0.000, 0.757)
Pr (0.333, 0.667, 0.423)
Pr (0.333, 0.667, 0.910)
Pr (0.667, 0.333, 0.090)
Pr (0.667, 0.333, 0.577)
Ge (0.000, 0.000, 0.000)
Ge (0.333, 0.667, 0.667)
Ge (0.667, 0.333, 0.333)
Rh (0.000, 0.000, 0.500)
Rh (0.333, 0.667, 0.167)
Rh (0.667, 0.333, 0.833)

---

# 2
The following is a GGA-PBE calculation of a relaxed structure of PrGe2Rh5, from Alexandria via LeMat-Bulk.

Results
Uncorrected energy, eV/atom: -6.922
Density, g/cm³: 9.8
ΔH_f (0 K), kcal/mol of atoms: -13.27

Unit cell a=3.925 b=6.965 c=9.964 alpha=90.00 beta=90.00 gamma=90.00
Element x y z (fractional)
Pr (0.000, 0.000, 0.000)
Pr (0.500, 0.500, 0.500)
Ge (0.000, 0.500, 0.241)
Ge (0.000, 0.500, 0.759)
Ge (0.500, 0.000, 0.259)
Ge (0.500, 0.000, 0.741)
Rh (0.000, 0.197, 0.358)
Rh (0.000, 0.197, 0.642)
Rh (0.000, 0.500, 0.000)
Rh (0.000, 0.803, 0.358)
Rh (0.000, 0.803, 0.642)
Rh (0.500, 0.000, 0.500)
Rh (0.500, 0.303, 0.142)
Rh (0.500, 0.303, 0.858)
Rh (0.500, 0.697, 0.142)
Rh (0.500, 0.697, 0.858)

---

# 3
The following is a GGA-PBE calculation of a relaxed structure of PrGeRh2, from Alexandria via LeMat-Bulk.

Results
Uncorrected energy, eV/atom: -6.712
Density, g/cm³: 8.8
ΔH_f (0 K), kcal/mol of atoms: -15.84

Unit cell a=4.039 b=4.039 c=9.749 alpha=90.00 beta=90.00 gamma=90.00
Element x y z (fractional)
Pr (0.250, 0.250, 0.201)
Pr (0.750, 0.750, 0.799)
Ge (0.250, 0.250, 0.646)
Ge (0.750, 0.750, 0.354)
Rh (0.250, 0.250, 0.898)
Rh (0.250, 0.750, 0.500)
Rh (0.750, 0.250, 0.500)
Rh (0.750, 0.750, 0.102)

---

# 4
The following is a GGA-PBE calculation of a relaxed structure of Pr3Ge2Rh5, from Alexandria via LeMat-Bulk.

Results
Uncorrected energy, eV/atom: -6.758
Density, g/cm³: 9.1
ΔH_f (0 K), kcal/mol of atoms: -16.71

Unit cell a=10.242 b=10.242 c=3.749 alpha=90.00 beta=90.00 gamma=90.00
Element x y z (fractional)
Pr (0.000, 0.000, 0.000)
Pr (0.174, 0.326, 0.000)
Pr (0.326, 0.826, 0.000)
Pr (0.500, 0.500, 0.000)
Pr (0.674, 0.174, 0.000)
Pr (0.826, 0.674, 0.000)
Ge (0.121, 0.621, 0.000)
Ge (0.379, 0.121, 0.000)
Ge (0.621, 0.879, 0.000)
Ge (0.879, 0.379, 0.000)
Rh (0.000, 0.500, 0.500)
Rh (0.070, 0.777, 0.500)
Rh (0.223, 0.070, 0.500)
Rh (0.277, 0.570, 0.500)
Rh (0.430, 0.277, 0.500)
Rh (0.500, 0.000, 0.500)
Rh (0.570, 0.723, 0.500)
Rh (0.723, 0.430, 0.500)
Rh (0.777, 0.930, 0.500)
Rh (0.930, 0.223, 0.500)

---

# 5
The following is a GGA-PBE calculation of a relaxed structure of Pr3Ge4Rh2, from Alexandria via LeMat-Bulk.

Results
Uncorrected energy, eV/atom: -6.101
ΔE to the lowest computed polymorph, kJ/mol of formula units: 31
Density, g/cm³: 7.6
ΔH_f (0 K), kcal/mol of atoms: -18.97

Unit cell a=6.087 b=6.087 c=8.552 alpha=101.70 beta=101.70 gamma=40.75
Element x y z (fractional)
Pr (0.000, 0.000, 0.000)
Pr (0.333, 0.333, 0.342)
Pr (0.667, 0.667, 0.658)
Ge (0.052, 0.052, 0.383)
Ge (0.268, 0.268, 0.923)
Ge (0.732, 0.732, 0.077)
Ge (0.948, 0.948, 0.617)
Rh (0.398, 0.398, 0.729)
Rh (0.602, 0.602, 0.271)

---

# 6
The following is a GGA-PBE calculation of a relaxed structure of Pr3Ge3Rh2, from Alexandria via LeMat-Bulk.

Results
Uncorrected energy, eV/atom: -6.202
ΔE to the lowest computed polymorph, kJ/mol of formula units: 9
Density, g/cm³: 7.8
ΔH_f (0 K), kcal/mol of atoms: -19.37

Unit cell a=8.010 b=14.707 c=6.120 alpha=90.00 beta=90.00 gamma=90.00
Element x y z (fractional)
Pr (0.028, 0.109, 0.135)
Pr (0.028, 0.391, 0.135)
Pr (0.170, 0.250, 0.636)
Pr (0.330, 0.750, 0.136)
Pr (0.472, 0.609, 0.635)
Pr (0.472, 0.891, 0.635)
Pr (0.528, 0.109, 0.365)
Pr (0.528, 0.391, 0.365)
Pr (0.670, 0.250, 0.864)
Pr (0.830, 0.750, 0.364)
Pr (0.972, 0.609, 0.865)
Pr (0.972, 0.891, 0.865)
Ge (0.182, 0.750, 0.604)
Ge (0.185, 0.044, 0.609)
Ge (0.185, 0.456, 0.609)
Ge (0.315, 0.544, 0.109)
Ge (0.315, 0.956, 0.109)
Ge (0.318, 0.250, 0.104)
Ge (0.682, 0.750, 0.896)
Ge (0.685, 0.044, 0.891)
Ge (0.685, 0.456, 0.891)
Ge (0.815, 0.544, 0.391)
Ge (0.815, 0.956, 0.391)
Ge (0.818, 0.250, 0.396)
Rh (0.112, 0.595, 0.384)
Rh (0.112, 0.905, 0.384)
Rh (0.388, 0.095, 0.884)
Rh (0.388, 0.405, 0.884)
Rh (0.612, 0.595, 0.116)
Rh (0.612, 0.905, 0.116)
Rh (0.888, 0.095, 0.616)
Rh (0.888, 0.405, 0.616)

---

# 7
The following is a GGA-PBE calculation of a relaxed structure of PrGe4Rh6, from Alexandria via LeMat-Bulk.

Results
Uncorrected energy, eV/atom: -6.868
Density, g/cm³: 9.9
ΔH_f (0 K), kcal/mol of atoms: -17.18

Unit cell a=7.234 b=7.234 c=3.893 alpha=90.00 beta=90.00 gamma=120.00
Element x y z (fractional)
Pr (0.000, 0.000, 0.000)
Ge (0.333, 0.667, 0.000)
Ge (0.397, 0.199, 0.500)
Ge (0.801, 0.199, 0.500)
Ge (0.801, 0.603, 0.500)
Rh (0.201, 0.401, 0.500)
Rh (0.201, 0.799, 0.500)
Rh (0.533, 0.066, 0.000)
Rh (0.533, 0.467, 0.000)
Rh (0.599, 0.799, 0.500)
Rh (0.934, 0.467, 0.000)

---

# 8
The following is a GGA-PBE calculation of a relaxed structure of Pr5Ge5Rh2, from Alexandria via LeMat-Bulk.

Results
Uncorrected energy, eV/atom: -5.906
Density, g/cm³: 7.2
ΔH_f (0 K), kcal/mol of atoms: -17.65

Unit cell a=8.049 b=8.049 c=11.519 alpha=129.13 beta=129.13 gamma=31.21
Element x y z (fractional)
Pr (0.000, 0.000, 0.000)
Pr (0.115, 0.115, 0.422)
Pr (0.200, 0.200, 0.827)
Pr (0.800, 0.800, 0.173)
Pr (0.885, 0.885, 0.578)
Ge (0.253, 0.253, 0.308)
Ge (0.443, 0.443, 0.162)
Ge (0.500, 0.500, 0.500)
Ge (0.557, 0.557, 0.838)
Ge (0.747, 0.747, 0.692)
Rh (0.353, 0.353, 0.738)
Rh (0.647, 0.647, 0.262)

---

# 9
The following is a GGA-PBE calculation of a relaxed structure of Pr5GeRh2, from Alexandria via LeMat-Bulk.

Results
Uncorrected energy, eV/atom: -5.983
Density, g/cm³: 7.6
ΔH_f (0 K), kcal/mol of atoms: -13.39

Unit cell a=8.825 b=8.825 c=8.825 alpha=126.36 beta=126.36 gamma=79.30
Element x y z (fractional)
Pr (0.000, 0.000, 0.000)
Pr (0.022, 0.522, 0.826)
Pr (0.195, 0.022, 0.500)
Pr (0.305, 0.805, 0.826)
Pr (0.478, 0.305, 0.500)
Pr (0.500, 0.500, 0.000)
Pr (0.522, 0.695, 0.500)
Pr (0.695, 0.195, 0.174)
Pr (0.805, 0.978, 0.500)
Pr (0.978, 0.478, 0.174)
Ge (0.250, 0.250, 0.000)
Ge (0.750, 0.750, 0.000)
Rh (0.134, 0.366, 0.500)
Rh (0.366, 0.866, 0.231)
Rh (0.634, 0.134, 0.769)
Rh (0.866, 0.634, 0.500)

---

# 10
The following is a GGA-PBE calculation of a relaxed structure of PrGe12Rh4, from Alexandria via LeMat-Bulk.

Results
Uncorrected energy, eV/atom: -5.563
Density, g/cm³: 7.3
ΔH_f (0 K), kcal/mol of atoms: -6.75

Unit cell a=7.498 b=7.498 c=7.498 alpha=109.47 beta=109.47 gamma=109.47
Element x y z (fractional)
Pr (0.000, 0.000, 0.000)
Ge (0.154, 0.504, 0.350)
Ge (0.154, 0.804, 0.650)
Ge (0.196, 0.350, 0.846)
Ge (0.350, 0.154, 0.504)
Ge (0.350, 0.846, 0.196)
Ge (0.496, 0.650, 0.846)
Ge (0.504, 0.350, 0.154)
Ge (0.650, 0.154, 0.804)
Ge (0.650, 0.846, 0.496)
Ge (0.804, 0.650, 0.154)
Ge (0.846, 0.196, 0.350)
Ge (0.846, 0.496, 0.650)
Rh (0.000, 0.000, 0.500)
Rh (0.000, 0.500, 0.000)
Rh (0.500, 0.000, 0.000)
Rh (0.500, 0.500, 0.500)